Entry 1:
ZnInRh after structural relaxation. Source: Alexandria via LeMat-Bulk, functional GGA-PBE.

Output
* energy of formation from the pure elements: -0.233 eV/atom
* Fermi-level density of states: 0.31 states/eV/atom

Cell lengths 4.357, 4.357, 3.075 Å; angles 90.00, 90.00, 120.00 degrees
Fractional coordinates of all 3 atoms:
In  0.000  0.000  0.998
Rh  0.667  0.333  0.493
Zn  0.333  0.667  0.509

***

Entry 2:
Tl2PtPbCl6 after structural relaxation. Source: Alexandria via LeMat-Bulk, functional GGA-PBE.

Output
* uncorrected formation energy: -714 meV per atom
* Fermi-level density of states: 0.35 states/eV/atom

Cell lengths 7.579, 7.579, 13.069 Å; angles 73.15, 73.15, 60.00 degrees
Each line ends with the local moment (μB).
Fractional coordinates of all 20 atoms:
Tl  0.864  0.864  0.409  0.00
Tl  0.136  0.136  0.591  0.00
Tl  0.730  0.730  0.810  0.01
Tl  0.270  0.270  0.190  0.01
Pt  0.000  0.000  0.000  0.41
Pt  0.500  0.500  0.500  1.08
Pb  0.591  0.591  0.228  0.03
Pb  0.409  0.409  0.772  0.03
Cl  0.873  0.369  0.388  0.08
Cl  0.369  0.873  0.388  0.08
Cl  0.369  0.369  0.388  0.08
Cl  0.127  0.631  0.612  0.08
Cl  0.631  0.127  0.612  0.08
Cl  0.631  0.631  0.612  0.08
Cl  0.743  0.190  0.877  0.02
Cl  0.190  0.743  0.877  0.02
Cl  0.190  0.190  0.877  0.02
Cl  0.257  0.810  0.123  0.02
Cl  0.810  0.257  0.123  0.02
Cl  0.810  0.810  0.123  0.02

***

Entry 3:
Pr6Tl2Zn after structural relaxation. Source: Alexandria via LeMat-Bulk, functional GGA-PBE.

Output
* energy of formation from the pure elements: -0.032 eV/atom
* energy above the most stable polymorph in this dataset: 0.204 eV/atom
* Fermi-level density of states: 1.53 states/eV/atom

Cell lengths 5.310, 7.512, 9.134 Å; angles 114.28, 106.83, 90.00 degrees
Fractional coordinates of all 9 atoms:
Pr  0.161  0.404  0.323
Pr  0.839  0.081  0.677
Pr  0.839  0.596  0.677
Pr  0.500  0.231  0.000
Pr  0.161  0.919  0.323
Pr  0.500  0.769  0.000
Tl  0.664  0.665  0.329
Tl  0.336  0.335  0.671
Zn  0.000  0.000  0.000

***

Entry 4:
SmTmAu after structural relaxation. Source: Alexandria via LeMat-Bulk, functional GGA-PBE.

Output
* energy of formation from the pure elements: -0.532 eV/atom
* energy above the most stable polymorph in this dataset: 0.095 eV/atom
* Fermi-level density of states: 1.20 states/eV/atom

Cell lengths 3.601, 3.601, 6.709 Å; angles 105.57, 105.57, 90.00 degrees
Each line ends with the local moment (μB).
Fractional coordinates of all 3 atoms:
Tm  0.306  0.306  0.612  0.23
Au  0.677  0.677  0.355  0.01
Sm  0.017  0.017  0.033  0.23

***

Entry 5:
HoInPt2 after structural relaxation. Source: Alexandria via LeMat-Bulk, functional GGA-PBE.

Output
* energy of formation from the pure elements: -0.945 eV/atom
* Fermi-level density of states: 0.52 states/eV/atom

Cell lengths 4.437, 5.653, 6.918 Å; angles 110.26, 90.00, 90.00 degrees
Fractional coordinates of all 8 atoms:
Ho  0.250  0.273  0.071
Ho  0.750  0.727  0.929
In  0.750  0.681  0.410
In  0.250  0.319  0.590
Pt  0.250  0.831  0.229
Pt  0.750  0.169  0.771
Pt  0.750  0.162  0.318
Pt  0.250  0.838  0.682

***

Entry 6:
ScRh2W after structural relaxation. Source: Alexandria via LeMat-Bulk, functional GGA-PBE.

Output
* energy of formation from the pure elements: -0.337 eV/atom
* energy above the most stable polymorph in this dataset: 0.103 eV/atom
* Fermi-level density of states: 0.88 states/eV/atom

Cell lengths 4.974, 4.974, 4.751 Å; angles 80.72, 80.72, 33.53 degrees
Fractional coordinates of all 4 atoms:
Rh  0.004  0.004  0.045
Rh  0.743  0.743  0.708
Sc  0.490  0.490  0.549
W  0.263  0.263  0.198